Entry 1:
KMnCl2: relaxed, GGA-PBE.

a b c (Å): 3.912 3.714 7.036
angles (deg): 90.00 90.07 90.00
Element x y z (fractional)
K 0.000 0.000 0.000
Mn 0.500 0.000 0.500
Cl 0.500 0.500 0.258
Cl 0.500 0.500 0.742

- offset from the most stable computed form (eV per formula unit) = 0.19
- total magnetization (μB/atom) = 1.0188
- energy relative to the elements, uncorrected (meV/atom) = -939.9



Entry 2:
Ag2OsRh: relaxed, GGA-PBE.

a b c (Å): 5.575 5.575 5.575
angles (deg): 150.95 128.59 60.14
Element x y z (fractional)
Ag 0.000 0.000 0.000
Ag 0.734 0.234 0.500
Os 0.475 0.475 0.000
Rh 0.259 0.759 0.500

- offset from the most stable computed form (eV per formula unit) = 1.35
- total magnetization (μB/atom) = 0.0002
- ΔH_f (0 K) (kJ/mol of atoms) = 58



Entry 3:
TiRuW2: relaxed, GGA-PBE.

a b c (Å): 5.747 5.747 5.747
angles (deg): 101.66 101.66 126.56
Element x y z (fractional)
Ti 0.000 0.000 0.000
Ti 0.750 0.250 0.500
Ru 0.250 0.750 0.500
Ru 0.500 0.500 0.000
W 0.148 0.625 0.023
W 0.375 0.398 0.523
W 0.602 0.125 0.977
W 0.875 0.852 0.477

- offset from the most stable computed form (eV per formula unit) = 2.30
- total magnetization (μB/atom) = 0.0000
- ΔH_f (0 K) (kJ/mol of atoms) = 58



Entry 4:
Hf2MgCoSe: relaxed, GGA-PBE.

a b c (Å): 4.977 4.977 4.334
angles (deg): 90.00 90.00 90.00
Element x y z (fractional)
Hf 0.000 0.500 0.000
Hf 0.500 0.000 0.000
Mg 0.000 0.000 0.500
Co 0.500 0.500 0.500
Se 0.500 0.500 0.000

- total magnetization (μB/atom) = 0.1961
- energy relative to the elements, uncorrected (meV/atom) = 213.7



Entry 5:
BeNbAg: relaxed, GGA-PBE.

a b c (Å): 3.614 3.614 9.575
angles (deg): 90.00 90.00 120.00
Element x y z (fractional)
Be 0.000 0.000 0.250
Be 0.000 0.000 0.750
Nb 0.000 0.000 0.000
Nb 0.000 0.000 0.500
Ag 0.333 0.667 0.250
Ag 0.667 0.333 0.750

- offset from the most stable computed form (eV per formula unit) = 3.63
- total magnetization (μB/atom) = 0.0006
- ΔH_f (0 K) (kJ/mol of atoms) = 115



Entry 6:
CsSO4: relaxed, GGA-PBE.

a b c (Å): 5.805 5.805 8.702
angles (deg): 90.00 90.00 85.35
Element x y z (fractional)
Cs 0.186 0.814 0.750
Cs 0.814 0.186 0.250
S 0.315 0.685 0.250
S 0.685 0.315 0.750
O 0.207 0.793 0.110
O 0.207 0.793 0.390
O 0.279 0.434 0.250
O 0.434 0.279 0.750
O 0.566 0.721 0.250
O 0.721 0.566 0.750
O 0.793 0.207 0.610
O 0.793 0.207 0.890

- total magnetization (μB/atom) = 0.1675
- energy relative to the elements, uncorrected (meV/atom) = -1427.8



Entry 7:
Sr2BeSi3Pt4: relaxed, GGA-PBE.

a b c (Å): 4.280 4.280 9.971
angles (deg): 90.00 90.00 90.00
Element x y z (fractional)
Sr 0.000 0.500 0.242
Sr 0.500 0.000 0.758
Be 0.500 0.500 0.000
Si 0.000 0.000 0.000
Si 0.000 0.500 0.630
Si 0.500 0.000 0.370
Pt 0.000 0.000 0.500
Pt 0.000 0.500 0.881
Pt 0.500 0.000 0.119
Pt 0.500 0.500 0.500

- total magnetization (μB/atom) = 0.0000
- energy relative to the elements, uncorrected (meV/atom) = -867.0



Entry 8:
Ce5HoAu6: relaxed, GGA-PBE.

a b c (Å): 8.925 8.925 5.136
angles (deg): 106.66 106.66 49.69
Element x y z (fractional)
Ce 0.000 0.000 0.000
Ce 0.155 0.155 0.655
Ce 0.320 0.320 0.320
Ce 0.680 0.680 0.680
Ce 0.845 0.845 0.345
Ho 0.500 0.500 0.000
Au 0.108 0.570 0.839
Au 0.284 0.716 0.500
Au 0.430 0.892 0.161
Au 0.570 0.108 0.839
Au 0.716 0.284 0.500
Au 0.892 0.430 0.161

- total magnetization (μB/atom) = 0.4424
- ΔH_f (0 K) (kJ/mol of atoms) = -62



Entry 9:
GaCu4Pd7: relaxed, GGA-PBE.

a b c (Å): 4.319 4.319 10.595
angles (deg): 90.00 90.00 120.00
Element x y z (fractional)
Ga 0.000 0.000 0.000
Cu 0.333 0.667 0.176
Cu 0.333 0.667 0.410
Cu 0.667 0.333 0.590
Cu 0.667 0.333 0.824
Pd 0.000 0.000 0.236
Pd 0.000 0.000 0.500
Pd 0.000 0.000 0.764
Pd 0.333 0.667 0.654
Pd 0.333 0.667 0.922
Pd 0.667 0.333 0.078
Pd 0.667 0.333 0.346

- offset from the most stable computed form (eV per formula unit) = 0.00
- total magnetization (μB/atom) = 0.0000
- ΔH_f (0 K) (kJ/mol of atoms) = -21



Entry 10:
Pr2HgI: relaxed, GGA-PBE.

a b c (Å): 9.499 9.499 9.499
angles (deg): 24.49 24.49 24.49
Element x y z (fractional)
Pr 0.000 0.000 0.000
Pr 0.173 0.173 0.173
Hg 0.586 0.586 0.586
I 0.420 0.420 0.420

- offset from the most stable computed form (eV per formula unit) = 0.00
- total magnetization (μB/atom) = 0.0000
- energy relative to the elements, uncorrected (meV/atom) = -657.5



Entry 11:
Tb2CePm6Y3: relaxed, GGA-PBE.

a b c (Å): 6.262 6.262 11.923
angles (deg): 95.03 95.03 120.01
Element x y z (fractional)
Tb 0.166 0.834 0.000
Tb 0.834 0.166 0.000
Ce 0.500 0.500 0.000
Pm 0.086 0.417 0.751
Pm 0.251 0.251 0.249
Pm 0.417 0.086 0.751
Pm 0.583 0.914 0.249
Pm 0.749 0.749 0.751
Pm 0.914 0.583 0.249
Y 0.000 0.000 0.500
Y 0.333 0.667 0.500
Y 0.667 0.333 0.500

- total magnetization (μB/atom) = 0.1067
- ΔH_f (0 K) (kJ/mol of atoms) = 3



Entry 12:
Zr2CoTc3: relaxed, GGA-PBE.

a b c (Å): 5.239 5.239 5.239
angles (deg): 58.89 58.89 58.89
Element x y z (fractional)
Zr 0.124 0.124 0.124
Zr 0.876 0.876 0.876
Co 0.500 0.500 0.500
Tc 0.000 0.500 0.500
Tc 0.500 0.000 0.500
Tc 0.500 0.500 0.000

- total magnetization (μB/atom) = 0.2010
- ΔH_f (0 K) (kJ/mol of atoms) = -29



| no. | E (Ha/atom) |
| --- | --- |
| 1 | -0.1628 |
| 2 | -0.2010 |
| 3 | -0.3735 |
| 4 | -0.2280 |
| 5 | -0.1600 |
| 6 | -0.2045 |
| 7 | -0.2065 |
| 8 | -0.1887 |
| 9 | -0.1787 |
| 10 | -0.1290 |
| 11 | -0.1919 |
| 12 | -0.3499 |